Entry 1:
{
  "formula": "ZrHg2TeO6",
  "functional": "GGA-PBE",
  "state": "optimized geometry",
  "lattice_angstrom": [[5.763, 0.000, 0.000], [-2.877, 5.078, 0.000], [-2.838, -1.695, 4.908]],
  "species": ["Zr", "Hg", "Hg", "Te", "O", "O", "O", "O", "O", "O"],
  "frac_coords": [[0.000, 0.000, 0.000], [0.489, 0.245, 0.738], [0.515, 0.754, 0.263], [0.989, 0.495, 0.498], [0.077, 0.889, 0.721], [0.161, 0.808, 0.255], [0.519, 0.373, 0.262], [0.533, 0.654, 0.785], [0.886, 0.165, 0.243], [0.904, 0.281, 0.749]],
  "total_energy_ev_per_atom": -5.51,
  "spacegroup": "No. 1",
  "formation_energy_uncorrected_mev_per_atom": -1310.7
}

***

Entry 2:
{
  "formula": "ZrGaCuGe",
  "functional": "GGA-PBE",
  "state": "optimized geometry",
  "lattice_angstrom": [[3.867, 0.000, 0.000], [0.000, 3.867, 0.000], [0.000, 0.000, 9.022]],
  "species": ["Zr", "Zr", "Ga", "Ga", "Cu", "Cu", "Ge", "Ge"],
  "frac_coords": [[0.250, 0.250, 0.246], [0.750, 0.750, 0.754], [0.250, 0.750, 0.500], [0.750, 0.250, 0.500], [0.250, 0.750, 0.000], [0.750, 0.250, 0.000], [0.250, 0.250, 0.811], [0.750, 0.750, 0.189]],
  "ef_ev_per_atom": -0.43,
  "dos_at_fermi_per_ev_cell": 4.707,
  "total_energy_ev_per_atom": -5.51,
  "spacegroup": "No. 129"
}

***

Entry 3:
{
  "formula": "CdFeCuPt",
  "functional": "GGA-PBE",
  "state": "optimized geometry",
  "lattice_angstrom": [[0.000, 3.105, 3.105], [3.105, 0.000, 3.105], [3.105, 3.105, 0.000]],
  "species": ["Cd", "Fe", "Cu", "Pt"],
  "frac_coords": [[0.000, 0.000, 0.000], [0.250, 0.250, 0.250], [0.750, 0.750, 0.750], [0.500, 0.500, 0.500]],
  "ef_ev_per_atom": 0.00,
  "dos_at_fermi_per_ev_cell": 1.512,
  "total_energy_ev_per_atom": -4.88,
  "spacegroup": "No. 216"
}

***

Entry 4:
{
  "formula": "GdHfPdRh",
  "functional": "GGA-PBE",
  "state": "optimized geometry",
  "lattice_angstrom": [[0.000, 3.397, 3.397], [3.397, 0.000, 3.397], [3.397, 3.397, 0.000]],
  "species": ["Gd", "Hf", "Pd", "Rh"],
  "frac_coords": [[0.000, 0.000, 0.000], [0.500, 0.500, 0.500], [0.250, 0.250, 0.250], [0.750, 0.750, 0.750]],
  "ef_ev_per_atom": -0.69,
  "dos_at_fermi_per_ev_cell": 5.068,
  "total_energy_ev_per_atom": -9.83,
  "spacegroup": "No. 216"
}

***

Entry 5:
{
  "formula": "HfIrRhS2",
  "functional": "GGA-PBE",
  "state": "optimized geometry",
  "lattice_angstrom": [[4.564, 0.000, 0.000], [0.000, 4.564, 0.000], [0.000, 0.000, 4.742]],
  "species": ["Hf", "Ir", "Rh", "S", "S"],
  "frac_coords": [[0.000, 0.000, 0.000], [0.500, 0.500, 0.500], [0.500, 0.500, 0.000], [0.000, 0.500, 0.500], [0.500, 0.000, 0.500]],
  "dos_at_fermi_per_ev_cell": 4.716,
  "total_energy_ev_per_atom": -6.35,
  "spacegroup": "No. 123",
  "formation_energy_uncorrected_mev_per_atom": 534.8
}

***

Entry 6:
{
  "formula": "ZnCo2TcN",
  "functional": "GGA-PBE",
  "state": "optimized geometry",
  "lattice_angstrom": [[3.792, 0.000, 0.000], [0.000, 3.792, 0.000], [0.000, 0.000, 3.988]],
  "species": ["Zn", "Co", "Co", "Tc", "N"],
  "frac_coords": [[0.000, 0.000, 0.000], [0.000, 0.500, 0.500], [0.500, 0.000, 0.500], [0.500, 0.500, 0.000], [0.500, 0.500, 0.500]],
  "dos_at_fermi_per_ev_cell": 5.226,
  "total_energy_ev_per_atom": -6.88,
  "spacegroup": "No. 123",
  "formation_energy_uncorrected_mev_per_atom": -47.0
}

***

What did the first record say?
{
  "formula": "ZrHg2TeO6",
  "functional": "GGA-PBE",
  "state": "optimized geometry",
  "lattice_angstrom": [[5.763, 0.000, 0.000], [-2.877, 5.078, 0.000], [-2.838, -1.695, 4.908]],
  "species": ["Zr", "Hg", "Hg", "Te", "O", "O", "O", "O", "O", "O"],
  "frac_coords": [[0.000, 0.000, 0.000], [0.489, 0.245, 0.738], [0.515, 0.754, 0.263], [0.989, 0.495, 0.498], [0.077, 0.889, 0.721], [0.161, 0.808, 0.255], [0.519, 0.373, 0.262], [0.533, 0.654, 0.785], [0.886, 0.165, 0.243], [0.904, 0.281, 0.749]],
  "total_energy_ev_per_atom": -5.51,
  "spacegroup": "No. 1",
  "formation_energy_uncorrected_mev_per_atom": -1310.7
}